(1)
DFT (GGA-PBE) results for a relaxed Nd12Mg6Cd crystal.

```
Nd12Mg6Cd
1.0
-4.1687 2.4454 -6.8442
-7.3969 -1.8023 3.4984
-0.8463 7.8003 2.9394
Nd Mg Cd
12 6 1
Cartesian
-3.4724 -0.0452 0.3509
-4.8091 3.9369 1.9594
-8.9395 8.4886 -0.7574
-1.6089 2.7463 1.4326
-8.2564 3.7222 1.2986
-6.2483 1.6908 -0.7525
-6.1636 6.7527 0.3461
-1.9485 2.0811 -2.0137
-7.6028 4.5066 -2.3659
-10.4634 6.3624 1.6072
-10.8030 5.6972 -1.8390
-4.1555 4.7213 -1.7051
-7.3470 6.2555 3.4842
-9.9418 2.2143 -1.2274
-5.0650 2.1880 -3.8906
-6.2554 7.5466 -3.0277
-2.4702 6.2292 0.8210
-6.1565 0.8969 2.6213
0.0000 0.0000 0.0000
```

Results
Size of the total moment (μB per formula unit): 0.00
Electronic total energy (eV for the cell shown): -67.65
Energy relative to the elements (meV per atom): 2


(2)
DFT (GGA-PBE) results for a relaxed B5C7 crystal.

```
B5C7
1.0
2.5773 0.0000 0.0000
0.0000 3.9266 -0.0441
0.0000 -0.0925 7.7523
B C
5 7
Cartesian
0.0000 3.6538 2.4249
1.2886 2.1601 1.2161
0.0000 0.9863 3.9247
0.0000 1.0103 1.4575
0.0000 3.7845 7.6305
1.2886 2.8084 7.5969
0.0000 3.8179 5.1622
1.2886 1.9938 3.9098
1.2886 1.8781 6.3997
1.2886 2.9048 5.1500
1.2886 2.8311 2.6891
0.0000 0.9734 6.3744
```

Results
Size of the total moment (μB per formula unit): 0.00
Electronic total energy (eV for the cell shown): -93.06
Energy relative to the elements (meV per atom): 408
ΔE to the lowest computed polymorph (meV per atom): 150


(3)
DFT (GGA-PBE) results for a relaxed MnPbBr2 crystal.

```
MnPbBr2
1.0
-2.6713 -3.5966 -1.0257
3.0301 -1.9553 -1.0351
0.8238 -2.2750 5.8317
Mn Br Pb
1 2 1
Cartesian
-0.3722 -2.8559 0.6863
1.7411 -1.9578 2.3305
0.1858 -0.1573 0.0678
1.5548 -4.9711 3.0846
```

Results
Size of the total moment (μB per formula unit): 4.52
Electronic total energy (eV for the cell shown): -16.50
ΔE to the lowest computed polymorph (meV per atom): 328
Formation energy from raw total energies (eV/f.u.): -0.3


(4)
DFT (GGA-PBE) results for a relaxed CoTe2PCl crystal.

```
CoTe2PCl
1.0
5.5824 0.0000 0.0000
0.0000 4.0944 0.0000
0.0000 0.0000 5.5824
P Te Co Cl
1 2 1 1
Cartesian
2.7912 2.0472 2.7912
0.0000 0.0000 2.7912
2.7912 0.0000 0.0000
0.0000 2.0472 0.0000
0.0000 0.0000 0.0000
```

Results
Size of the total moment (μB per formula unit): 1.82
Electronic total energy (eV for the cell shown): -14.90
Formation energy from raw total energies (eV/f.u.): 5.7


(5)
DFT (GGA-PBE) results for a relaxed Ce2SeCl4 crystal.

```
Ce2SeCl4
1.0
-1.4731 0.2196 3.7659
-7.6848 -4.6267 -2.7363
4.1541 -8.1415 2.0997
Ce Cl Se
4 8 2
Cartesian
2.1137 -7.5358 1.2663
-5.6444 -5.2325 -1.9028
-1.8934 -4.0738 1.6744
-3.1104 -8.4749 1.4550
0.5840 -5.5973 2.7323
-2.1641 -2.4838 -0.7017
-5.5878 -6.9514 0.3970
-4.7735 -4.0067 0.5438
-4.0970 -9.4739 -1.0502
-0.2303 -8.5420 2.5855
0.5663 -3.2944 0.4136
-1.3666 -10.2845 0.0651
-1.7654 -6.3841 -0.3183
-0.7366 0.1098 1.8829
```

Results
Size of the total moment (μB per formula unit): 2.00
Electronic total energy (eV for the cell shown): -73.46
Formation energy from raw total energies (eV/f.u.): -14.0


(6)
DFT (GGA-PBE) results for a relaxed TbCe2Ho crystal.

```
TbCe2Ho
1.0
3.4823 0.0000 0.0000
1.7411 3.0157 0.0000
1.7411 1.0052 11.5072
Ce Tb Ho
2 1 1
Cartesian
1.7411 1.0052 8.6323
1.7411 1.0052 2.8770
3.4823 2.0105 5.7982
5.2234 3.0157 11.4604
```

Results
Size of the total moment (μB per formula unit): 1.29
Electronic total energy (eV for the cell shown): -20.70
Energy relative to the elements (meV per atom): 93
ΔE to the lowest computed polymorph (meV per atom): 5


(7)
DFT (GGA-PBE) results for a relaxed Ba2CoPdI crystal.

```
Ba2CoPdI
1.0
-3.5236 -5.1278 -0.3202
2.3705 -1.3890 -3.8416
4.0767 -3.0268 3.6099
I Pd Co Ba
1 1 1 2
Cartesian
1.4618 -4.7717 -0.2760
0.0000 0.0000 0.0000
1.1852 -0.6945 -1.9208
2.0383 -1.5134 1.8049
-1.7618 -2.5639 -0.1601
```

Results
Size of the total moment (μB per formula unit): 1.49
Electronic total energy (eV for the cell shown): -19.31
ΔE to the lowest computed polymorph (meV per atom): 0
Formation energy from raw total energies (eV/f.u.): -1.6


(8)
DFT (GGA-PBE) results for a relaxed PmGdGe2 crystal.

```
PmGdGe2
1.0
3.8332 0.0000 0.0000
0.0000 3.8332 0.0000
0.0000 0.0000 6.4975
Gd Ge Pm
1 2 1
Cartesian
1.9166 1.9166 3.2487
0.0000 0.0000 4.7287
0.0000 0.0000 1.7688
1.9166 1.9166 0.0000
```

Results
Size of the total moment (μB per formula unit): 7.50
Electronic total energy (eV for the cell shown): -30.64
Energy relative to the elements (meV per atom): -644


> What is the electronic total energy in the first record?

-67.65 eV for the cell shown


> Which formula does entry 3 have?

MnPbBr2


> electronic total energy of number 8 (PmGdGe2)?

-30.64 eV for the cell shown


> Which of these has the highest size of the total moment?

PmGdGe2